[1]
A crystal of ReSbRu relaxed with PBEsol, computed with SCAN.

abc: 2.942 2.942 6.472
angles: 90.00 90.00 120.00
Fractional coordinates of all 3 atoms:
Re  0.000  0.000  0.985
Ru  0.333  0.667  0.677
Sb  0.667  0.333  0.338

Properties
E above lowest polymorph: 0.117 eV/atom
E_form (uncorrected): 0.455 eV per atom
space-group type: P3m1 (156)

---

[2]
A crystal of Tb2InCu2 relaxed with PBEsol, computed with SCAN.

abc: 3.710 7.403 7.403
angles: 90.00 90.00 90.00
Fractional coordinates of all 10 atoms:
Tb  0.500  0.173  0.673
Tb  0.500  0.327  0.173
Tb  0.500  0.673  0.827
Tb  0.500  0.827  0.327
Cu  0.000  0.121  0.379
Cu  0.000  0.379  0.879
Cu  0.000  0.621  0.121
Cu  0.000  0.879  0.621
In  0.000  0.000  0.000
In  0.000  0.500  0.500

Properties
energy of formation from the pure elements: -2.4 eV per formula unit
space-group type: P4/mbm (127)

---

[3]
A crystal of CoPBr2 relaxed with PBEsol, computed with SCAN.

abc: 3.226 4.018 6.182
angles: 90.00 90.00 90.00
Each line ends with the local moment (μB).
Fractional coordinates of all 4 atoms:
Br  0.000  0.000  0.000  0.09
Br  0.500  0.000  0.500  0.02
Co  0.500  0.500  0.000  2.28
P  0.000  0.500  0.500  0.12

Properties
E above lowest polymorph: 0.631 eV/atom
E_form (uncorrected): 0.652 eV per atom
space-group type: Pmmm (47)

---

[4]
A crystal of Al2C relaxed with PBEsol, computed with SCAN.

abc: 2.880 5.147 5.658
angles: 105.17 90.00 106.24
Fractional coordinates of all 6 atoms:
C  0.498  0.995  0.368
C  0.502  0.005  0.632
Al  0.143  0.287  0.318
Al  0.859  0.719  0.168
Al  0.857  0.713  0.682
Al  0.141  0.281  0.832

Properties
energy of formation from the pure elements: 0.9 eV per formula unit
space-group type: C2/m (12)

---

[5]
A crystal of Fe2CuRu relaxed with PBEsol, computed with SCAN.

abc: 2.558 4.389 4.427
angles: 100.32 90.00 106.94
Each line ends with the local moment (μB).
Fractional coordinates of all 4 atoms:
Cu  0.748  0.496  0.236  0.09
Fe  0.996  0.992  0.005  2.79
Fe  0.251  0.503  0.743  2.63
Ru  0.505  0.009  0.517  -0.11

Properties
E above lowest polymorph: 0.046 eV/atom
energy of formation from the pure elements: 0.6 eV per formula unit
space-group type: Cm (8)

---

[6]
A crystal of ZnAuSeN2 relaxed with PBEsol, computed with SCAN.

abc: 3.732 3.732 7.316
angles: 90.00 90.00 90.00
Fractional coordinates of all 5 atoms:
Zn  0.500  0.500  0.500
Au  0.000  0.000  0.000
Se  0.000  0.000  0.500
N  0.000  0.500  0.000
N  0.500  0.000  0.000

Properties
E_form (uncorrected): 1.545 eV per atom
space-group type: P4/mmm (123)

---

[7]
A crystal of LiI relaxed with PBEsol, computed with SCAN.

abc: 4.171 4.171 4.171
angles: 60.00 60.00 60.00
Fractional coordinates of all 2 atoms:
I  0.500  0.500  0.500
Li  0.000  0.000  0.000

Properties
E above lowest polymorph: 0.026 eV/atom
E_form (uncorrected): -1.310 eV per atom
space-group type: Fm-3m (225)

---

[8]
A crystal of Al3C relaxed with PBEsol, computed with SCAN.

abc: 4.019 4.019 4.019
angles: 90.00 90.00 90.00
Fractional coordinates of all 4 atoms:
C  0.000  0.000  0.000
Al  0.500  0.000  0.000
Al  0.000  0.500  0.000
Al  0.000  0.000  0.500

Properties
E above lowest polymorph: 0.693 eV/atom
energy of formation from the pure elements: 2.6 eV per formula unit
space-group type: Pm-3m (221)

---

[9]
A crystal of InPW2 relaxed with PBEsol, computed with SCAN.

abc: 3.003 4.496 5.206
angles: 90.00 106.76 90.00
Fractional coordinates of all 4 atoms:
In  0.927  0.000  0.854
P  0.285  0.500  0.571
W  0.192  0.000  0.383
W  0.592  0.500  0.185

Properties
E above lowest polymorph: 0.000 eV/atom
energy of formation from the pure elements: 1.6 eV per formula unit
space-group type: Amm2 (38)

---

[10]
A crystal of HfTi3Pb relaxed with PBEsol, computed with SCAN.

abc: 4.802 4.802 4.802
angles: 90.00 90.00 90.00
Each line ends with the local moment (μB).
Fractional coordinates of all 5 atoms:
Pb  0.500  0.500  0.500  -0.03
Hf  0.000  0.000  0.000  0.02
Ti  0.000  0.500  0.000  0.45
Ti  0.000  0.000  0.500  0.45
Ti  0.500  0.000  0.000  0.45

Properties
energy of formation from the pure elements: 4.8 eV per formula unit
space-group type: Pm-3m (221)

---

[11]
A crystal of Ni2IrOs relaxed with PBEsol, computed with SCAN.

abc: 2.636 4.391 4.516
angles: 99.89 106.97 90.00
Fractional coordinates of all 4 atoms:
Ni  0.998  0.987  0.997
Ni  0.251  0.760  0.502
Ir  0.750  0.256  0.500
Os  0.501  0.497  0.001

Properties
E above lowest polymorph: 0.025 eV/atom
energy of formation from the pure elements: 0.2 eV per formula unit
space-group type: Cm (8)

---

[12]
A crystal of CrHgSe2N relaxed with PBEsol, computed with SCAN.

abc: 3.974 5.281 5.281
angles: 90.00 90.00 90.00
Each line ends with the local moment (μB).
Fractional coordinates of all 5 atoms:
Cr  0.500  0.500  0.500  4.11
Hg  0.000  0.000  0.000  0.04
Se  0.000  0.000  0.500  -0.10
Se  0.000  0.500  0.000  -0.10
N  0.500  0.000  0.000  1.07

Properties
E_form (uncorrected): 1.138 eV per atom
space-group type: P4/mmm (123)